Computed, not measured: CsDy2CuSe4 after structural relaxation at the GGA-PBE level of DFT.

## Properties
Calculated total energy in eV per atom: -5.00
Formation energy from raw total energies in kJ per mole of atoms: -144.0

a = 7.623 Å, b = 7.623 Å, c = 14.511 Å
α = 90.00°, β = 90.00°, γ = 148.27°
Positions (direct):
Cs  0.109  0.891  0.750
Cs  0.891  0.109  0.250
Dy  0.367  0.633  0.563
Dy  0.367  0.633  0.937
Dy  0.633  0.367  0.063
Dy  0.633  0.367  0.437
Cu  0.166  0.834  0.250
Cu  0.834  0.166  0.750
Se  0.000  0.000  0.000
Se  0.000  0.000  0.500
Se  0.257  0.743  0.106
Se  0.257  0.743  0.394
Se  0.423  0.577  0.750
Se  0.577  0.423  0.250
Se  0.743  0.257  0.606
Se  0.743  0.257  0.894


Computed, not measured: Pr3Ge6Pd2Rh after structural relaxation at the GGA-PBE level of DFT.

## Properties
Calculated total energy in eV per atom: -5.47

a = 6.051 Å, b = 6.051 Å, c = 8.092 Å
α = 90.00°, β = 90.00°, γ = 120.00°
Positions (direct):
Pr  0.000  0.000  0.000
Pr  0.333  0.667  0.631
Pr  0.667  0.333  0.369
Ge  0.187  0.375  0.292
Ge  0.187  0.813  0.292
Ge  0.375  0.187  0.708
Ge  0.625  0.813  0.292
Ge  0.813  0.187  0.708
Ge  0.813  0.625  0.708
Pd  0.333  0.667  0.030
Pd  0.667  0.333  0.970
Rh  0.000  0.000  0.500


Computed, not measured: Ca2ZnI after structural relaxation at the GGA-PBE level of DFT.

## Properties
Calculated total energy in eV per atom: -2.11
Formation energy from raw total energies in kJ per mole of atoms: -39.2

a = 8.232 Å, b = 8.232 Å, c = 8.044 Å
α = 90.00°, β = 90.00°, γ = 90.00°
Positions (direct):
Ca  0.228  0.250  0.125
Ca  0.250  0.728  0.375
Ca  0.250  0.772  0.875
Ca  0.272  0.250  0.625
Ca  0.728  0.750  0.625
Ca  0.750  0.228  0.875
Ca  0.750  0.272  0.375
Ca  0.772  0.750  0.125
Zn  0.000  0.000  0.000
Zn  0.000  0.500  0.250
Zn  0.500  0.000  0.750
Zn  0.500  0.500  0.500
I  0.000  0.000  0.500
I  0.000  0.500  0.750
I  0.500  0.000  0.250
I  0.500  0.500  0.000


Computed, not measured: MnCrSiCl2 after structural relaxation at the GGA-PBE level of DFT.

## Properties
Calculated total energy in eV per atom: -4.12
Formation energy from raw total energies in kJ per mole of atoms: 141.1

a = 4.750 Å, b = 4.750 Å, c = 4.790 Å
α = 90.00°, β = 90.00°, γ = 90.00°
Positions (direct):
Mn  0.000  0.000  0.000
Cr  0.500  0.500  0.000
Si  0.000  0.000  0.500
Cl  0.000  0.500  0.500
Cl  0.500  0.000  0.500


Computed, not measured: La2ZrNi after structural relaxation at the GGA-PBE level of DFT.

## Properties
Calculated total energy in eV per atom: -5.78

a = 4.644 Å, b = 4.644 Å, c = 9.231 Å
α = 90.00°, β = 90.00°, γ = 90.00°
Positions (direct):
La  0.000  0.500  0.250
La  0.000  0.500  0.750
La  0.500  0.000  0.250
La  0.500  0.000  0.750
Zr  0.000  0.000  0.000
Zr  0.500  0.500  0.500
Ni  0.000  0.000  0.500
Ni  0.500  0.500  0.000


Computed, not measured: La8Pr3Ho2 after structural relaxation at the GGA-PBE level of DFT.

## Properties
Calculated total energy in eV per atom: -4.70

a = 9.038 Å, b = 9.038 Å, c = 6.276 Å
α = 106.77°, β = 106.77°, γ = 83.04°
Positions (direct):
La  0.052  0.052  0.295
La  0.064  0.583  0.825
La  0.354  0.354  0.446
La  0.417  0.936  0.175
La  0.583  0.064  0.825
La  0.646  0.646  0.554
La  0.936  0.417  0.175
La  0.948  0.948  0.705
Pr  0.254  0.746  0.500
Pr  0.500  0.500  0.000
Pr  0.746  0.254  0.500
Ho  0.212  0.212  0.842
Ho  0.788  0.788  0.158


Computed, not measured: Ir2OsBr after structural relaxation at the GGA-PBE level of DFT.

## Properties
Calculated total energy in eV per atom: -7.01
Formation energy from raw total energies in kJ per mole of atoms: 62.3

a = 2.830 Å, b = 2.830 Å, c = 28.215 Å
α = 90.00°, β = 90.00°, γ = 120.00°
Positions (direct):
Ir  0.000  0.000  0.241
Ir  0.000  0.000  0.759
Ir  0.333  0.667  0.426
Ir  0.333  0.667  0.908
Ir  0.667  0.333  0.092
Ir  0.667  0.333  0.574
Os  0.000  0.000  0.500
Os  0.333  0.667  0.167
Os  0.667  0.333  0.833
Br  0.000  0.000  0.000
Br  0.333  0.667  0.667
Br  0.667  0.333  0.333


Computed, not measured: Eu3InPd after structural relaxation at the GGA-PBE level of DFT.

## Properties
Calculated total energy in eV per atom: -8.05

a = 5.673 Å, b = 5.673 Å, c = 5.673 Å
α = 90.00°, β = 90.00°, γ = 90.00°
Positions (direct):
Eu  0.000  0.000  0.500
Eu  0.000  0.500  0.000
Eu  0.500  0.000  0.000
In  0.500  0.500  0.500
Pd  0.000  0.000  0.000


Computed, not measured: PuHgPd after structural relaxation at the GGA-PBE level of DFT.

## Properties
Calculated total energy in eV per atom: -6.94

a = 10.383 Å, b = 4.568 Å, c = 6.993 Å
α = 90.00°, β = 124.64°, γ = 90.00°
Positions (direct):
Pu  0.056  0.000  0.318
Pu  0.444  0.500  0.682
Pu  0.556  0.500  0.318
Pu  0.944  0.000  0.682
Hg  0.170  0.500  0.094
Hg  0.330  0.000  0.906
Hg  0.670  0.000  0.094
Hg  0.830  0.500  0.906
Pd  0.155  0.500  0.669
Pd  0.345  0.000  0.331
Pd  0.655  0.000  0.669
Pd  0.845  0.500  0.331


Computed, not measured: DyHgRh after structural relaxation at the GGA-PBE level of DFT.

## Properties
Calculated total energy in eV per atom: -4.61

a = 3.612 Å, b = 3.612 Å, c = 9.542 Å
α = 90.00°, β = 90.00°, γ = 90.00°
Positions (direct):
Dy  0.000  0.000  0.000
Dy  0.500  0.500  0.500
Hg  0.000  0.000  0.314
Hg  0.500  0.500  0.814
Rh  0.000  0.000  0.644
Rh  0.500  0.500  0.144


Computed, not measured: NaCe2TmSe4 after structural relaxation at the GGA-PBE level of DFT.

## Properties
Calculated total energy in eV per atom: -5.64
Formation energy from raw total energies in kJ per mole of atoms: -163.0

a = 7.206 Å, b = 4.143 Å, c = 7.237 Å
α = 90.00°, β = 109.14°, γ = 90.00°
Positions (direct):
Na  0.000  0.000  0.000
Ce  0.000  0.500  0.500
Ce  0.500  0.000  0.500
Tm  0.500  0.500  0.000
Se  0.254  0.500  0.241
Se  0.259  0.000  0.765
Se  0.741  0.000  0.235
Se  0.746  0.500  0.759


Computed, not measured: SbPtN after structural relaxation at the GGA-PBE level of DFT.

## Properties
Calculated total energy in eV per atom: -6.32
Formation energy from raw total energies in kJ per mole of atoms: -15.1

a = 6.700 Å, b = 4.588 Å, c = 11.398 Å
α = 90.00°, β = 100.93°, γ = 90.00°
Positions (direct):
Sb  0.104  0.000  0.147
Sb  0.396  0.500  0.853
Sb  0.604  0.500  0.147
Sb  0.896  0.000  0.853
Pt  0.210  0.500  0.063
Pt  0.290  0.000  0.937
Pt  0.710  0.000  0.063
Pt  0.790  0.500  0.937
N  0.021  0.500  0.455
N  0.479  0.000  0.545
N  0.521  0.000  0.455
N  0.979  0.500  0.545


calculated total energy of number 2 (Pr3Ge6Pd2Rh)?
-5.47 eV per atom


calculated total energy of number 5 (La2ZrNi)?
-5.78 eV per atom